# 1
The following is a DFT calculation (PBE) of AlTcGe after structural relaxation.

Results
Density: 6.3 Mg/m³
E above lowest polymorph: 332 meV/atom
Magnetization: 0.0 μB per cell
ΔH_f (0 K): -0.107 eV/atom
DOS at the Fermi energy: 7.06 states/eV/cell

Geometry as CIF:
```
data_AlTcGe
_chemical_formula_sum 'Al4 Tc4 Ge4'
_symmetry_space_group_name_H-M 'I m m a'
_symmetry_Int_Tables_number 74
_symmetry_space_group_name_Hall '-I 2b 2'
_cell_length_a 5.858
_cell_length_b 6.022
_cell_length_c 5.929
_cell_angle_alpha 90.00
_cell_angle_beta 90.00
_cell_angle_gamma 90.00
loop_
_atom_site_label
_atom_site_fract_x
_atom_site_fract_y
_atom_site_fract_z
_atom_site_occupancy
Al1 0.000 0.000 0.000 1
Tc1 0.250 0.250 0.250 1
Ge1 0.000 0.000 0.500 1
```

# 2
The following is a DFT calculation (PBE) of Mg2MnTc after structural relaxation.

Results
Density: 5.1 Mg/m³
E above lowest polymorph: 276 meV/atom
Magnetization: 9.2 μB per cell
ΔH_f (0 K): 0.349 eV/atom
DOS at the Fermi energy: 8.91 states/eV/cell

Geometry as CIF:
```
data_Mg2MnTc
_chemical_formula_sum 'Mg6 Mn3 Tc3'
_symmetry_space_group_name_H-M 'R -3 m'
_symmetry_Int_Tables_number 166
_symmetry_space_group_name_Hall '-R 3 2"'
_cell_length_a 2.8322
_cell_length_b 2.8322
_cell_length_c 28.2896
_cell_angle_alpha 90.00
_cell_angle_beta 90.00
_cell_angle_gamma 120.00
loop_
_atom_site_label
_atom_site_fract_x
_atom_site_fract_y
_atom_site_fract_z
_atom_site_occupancy
Mg1 0.0000 0.0000 0.2492 1
Mn1 0.0000 0.0000 0.0000 1
Tc1 0.0000 0.0000 0.5000 1
```

# 3
The following is a DFT calculation (PBE) of BaSr3Se4 after structural relaxation.

Results
Raw formation energy: -2.053 eV/atom
Density: 4.5 Mg/m³
Magnetization: 0.0 μB per cell
DOS at the Fermi energy: 0.00 states/eV/cell

Geometry as CIF:
```
data_BaSr3Se4
_chemical_formula_sum 'Ba2 Sr6 Se8'
_symmetry_space_group_name_H-M 'C m m m'
_symmetry_Int_Tables_number 65
_symmetry_space_group_name_Hall '-C 2 2'
_cell_length_a 9.056
_cell_length_b 12.802
_cell_length_c 4.524
_cell_angle_alpha 90.00
_cell_angle_beta 90.00
_cell_angle_gamma 90.00
loop_
_atom_site_label
_atom_site_fract_x
_atom_site_fract_y
_atom_site_fract_z
_atom_site_occupancy
Ba1 0.000 0.000 0.000 1
Sr1 0.000 0.500 0.000 1
Sr2 0.250 0.250 0.500 1
Se1 0.000 0.255 0.000 1
Se2 0.240 0.500 0.500 1
```

# 4
The following is a DFT calculation (PBE) of NaCa2FeSb after structural relaxation.

Results
Raw formation energy: 0.169 eV/atom
Density: 2.6 Mg/m³
Magnetization: 2.1 μB per cell
DOS at the Fermi energy: 5.64 states/eV/cell

Geometry as CIF:
```
data_NaCa2FeSb
_chemical_formula_sum 'Na1 Ca2 Fe1 Sb1'
_symmetry_space_group_name_H-M 'P 4/m m m'
_symmetry_Int_Tables_number 123
_symmetry_space_group_name_Hall '-P 4 2'
_cell_length_a 6.032
_cell_length_b 6.032
_cell_length_c 4.894
_cell_angle_alpha 90.00
_cell_angle_beta 90.00
_cell_angle_gamma 90.00
loop_
_atom_site_label
_atom_site_fract_x
_atom_site_fract_y
_atom_site_fract_z
_atom_site_occupancy
Na1 0.000 0.000 0.000 1
Ca1 0.000 0.500 0.500 1
Fe1 0.500 0.500 0.000 1
Sb1 0.500 0.500 0.500 1
```

# 5
The following is a DFT calculation (PBE) of HfGe2TeI after structural relaxation.

Results
Raw formation energy: 0.912 eV/atom
Density: 5.9 Mg/m³
Magnetization: 0.0 μB per cell
DOS at the Fermi energy: 6.02 states/eV/cell

Geometry as CIF:
```
data_HfGe2TeI
_chemical_formula_sum 'Hf1 Ge2 Te1 I1'
_symmetry_space_group_name_H-M 'P 4/m m m'
_symmetry_Int_Tables_number 123
_symmetry_space_group_name_Hall '-P 4 2'
_cell_length_a 5.528
_cell_length_b 5.528
_cell_length_c 5.364
_cell_angle_alpha 90.00
_cell_angle_beta 90.00
_cell_angle_gamma 90.00
loop_
_atom_site_label
_atom_site_fract_x
_atom_site_fract_y
_atom_site_fract_z
_atom_site_occupancy
Hf1 0.000 0.000 0.000 1
Ge1 0.000 0.500 0.500 1
Te1 0.000 0.000 0.500 1
I1 0.500 0.500 0.000 1
```

# 6
The following is a DFT calculation (PBE) of Y2BiP2 after structural relaxation.

Results
Density: 6.4 Mg/m³
E above lowest polymorph: 0 meV/atom
Magnetization: 0.0 μB per cell
ΔH_f (0 K): -0.918 eV/atom
DOS at the Fermi energy: 5.42 states/eV/cell

Geometry as CIF:
```
data_Y2BiP2
_chemical_formula_sum 'Y4 Bi2 P4'
_symmetry_space_group_name_H-M 'P 4/m b m'
_symmetry_Int_Tables_number 127
_symmetry_space_group_name_Hall '-P 4 2ab'
_cell_length_a 7.891
_cell_length_b 7.891
_cell_length_c 3.717
_cell_angle_alpha 90.00
_cell_angle_beta 90.00
_cell_angle_gamma 90.00
loop_
_atom_site_label
_atom_site_fract_x
_atom_site_fract_y
_atom_site_fract_z
_atom_site_occupancy
Y1 0.155 0.345 0.000 1
Bi1 0.000 0.000 0.500 1
P1 0.146 0.646 0.500 1
```